(w)
Below is TeRhI2N after structural relaxation, with properties calculated at the PBE level.

Results
The calculation puts the total magnetic moment at 0.0 Bohr magnetons per cell. Its space group is P4/mmm, No. 123. The crystal system is tetragonal.

Lattice parameters (Å, degrees): 5.785 5.785 3.703 90.00 90.00 90.00
Atoms (fractional coordinates):
I 0.000 0.500 0.000
I 0.500 0.000 0.000
Te 0.500 0.500 0.500
Rh 0.000 0.000 0.000
N 0.000 0.000 0.500

(x)
Below is TeRhI2N after structural relaxation, with properties calculated at the PBE level.

Results
The calculation puts the total magnetic moment at 1.9 Bohr magnetons per cell. Its space group is P4/mmm, No. 123. The crystal system is tetragonal.

Lattice parameters (Å, degrees): 6.112 6.112 3.954 90.00 90.00 90.00
Site moments in Bohr magnetons follow the coordinates.
Atoms (fractional coordinates):
I 0.000 0.500 0.000  0.08
I 0.500 0.000 0.000  0.08
Te 0.000 0.000 0.000  0.00
Rh 0.500 0.500 0.500  1.56
N 0.000 0.000 0.500  0.00

Quick one: most stable of them? (w)

(w)
Below is TeRhIN2 after structural relaxation, with properties calculated at the PBE level.

Results
The calculation puts the total magnetic moment at 2.8 Bohr magnetons per cell. Its space group is P4/mmm, No. 123. The crystal system is tetragonal.

Lattice parameters (Å, degrees): 4.130 4.130 5.763 90.00 90.00 90.00
Site moments in Bohr magnetons follow the coordinates.
Atoms (fractional coordinates):
I 0.500 0.500 0.500  0.02
Te 0.000 0.000 0.500  0.02
Rh 0.000 0.000 0.000  0.29
N 0.000 0.500 0.000  0.88
N 0.500 0.000 0.000  0.88

(x)
Below is TeRhIN2 after structural relaxation, with properties calculated at the PBE level.

Results
The calculation puts the total magnetic moment at 0.4 Bohr magnetons per cell. Its space group is P4/mmm, No. 123. The crystal system is tetragonal.

Lattice parameters (Å, degrees): 3.987 3.987 7.971 90.00 90.00 90.00
Site moments in Bohr magnetons follow the coordinates.
Atoms (fractional coordinates):
I 0.000 0.000 0.500  0.00
Te 0.500 0.500 0.500  0.00
Rh 0.000 0.000 0.000  -0.07
N 0.000 0.500 0.000  0.18
N 0.500 0.000 0.000  0.18

Quick one: most stable of them? (w)

(w)
Below is TeRhIN2 after structural relaxation, with properties calculated at the PBE level.

Results
The calculation puts the total magnetic moment at 1.2 Bohr magnetons per cell. Its space group is P4/mmm, No. 123. The crystal system is tetragonal.

Lattice parameters (Å, degrees): 3.948 3.948 7.149 90.00 90.00 90.00
Site moments in Bohr magnetons follow the coordinates.
Atoms (fractional coordinates):
I 0.000 0.000 0.500  0.04
Te 0.000 0.000 0.000  0.00
Rh 0.500 0.500 0.500  0.94
N 0.000 0.500 0.000  0.01
N 0.500 0.000 0.000  0.01

(x)
Below is TeRhIN2 after structural relaxation, with properties calculated at the PBE level.

Results
The calculation puts the total magnetic moment at 0.0 Bohr magnetons per cell. Its space group is P4/mmm, No. 123. The crystal system is tetragonal.

Lattice parameters (Å, degrees): 3.890 3.890 7.576 90.00 90.00 90.00
Atoms (fractional coordinates):
I 0.000 0.000 0.000
Te 0.000 0.000 0.500
Rh 0.500 0.500 0.500
N 0.000 0.500 0.000
N 0.500 0.000 0.000

Quick one: most stable of them? (w)

(w)
Below is TlRhIN2 after structural relaxation, with properties calculated at the PBE level.

Results
The calculation puts the total magnetic moment at 0.0 Bohr magnetons per cell. Its space group is P4/mmm, No. 123. The crystal system is tetragonal.

Lattice parameters (Å, degrees): 4.115 4.115 5.982 90.00 90.00 90.00
Atoms (fractional coordinates):
I 0.000 0.000 0.500
Tl 0.500 0.500 0.500
Rh 0.000 0.000 0.000
N 0.000 0.500 0.000
N 0.500 0.000 0.000

(x)
Below is TlRhIN2 after structural relaxation, with properties calculated at the PBE level.

Results
The calculation puts the total magnetic moment at 3.8 Bohr magnetons per cell. Its space group is P4/mmm, No. 123. The crystal system is tetragonal.

Lattice parameters (Å, degrees): 4.176 4.176 6.962 90.00 90.00 90.00
Site moments in Bohr magnetons follow the coordinates.
Atoms (fractional coordinates):
I 0.000 0.000 0.500  0.06
Tl 0.000 0.000 0.000  -0.01
Rh 0.500 0.500 0.500  1.11
N 0.000 0.500 0.000  0.89
N 0.500 0.000 0.000  0.89

Quick one: most stable of them? (w)

(w)
Below is RhWI2N after structural relaxation, with properties calculated at the PBE level.

Results
The calculation puts the total magnetic moment at 3.4 Bohr magnetons per cell. Its space group is P4/mmm, No. 123. The crystal system is tetragonal.

Lattice parameters (Å, degrees): 5.574 5.574 3.649 90.00 90.00 90.00
Site moments in Bohr magnetons follow the coordinates.
Atoms (fractional coordinates):
I 0.000 0.500 0.000  -0.04
I 0.500 0.000 0.000  -0.04
Rh 0.000 0.000 0.000  -0.03
W 0.500 0.500 0.500  2.61
N 0.000 0.000 0.500  -0.04

(x)
Below is RhWI2N after structural relaxation, with properties calculated at the PBE level.

Results
The calculation puts the total magnetic moment at 0.9 Bohr magnetons per cell. Its space group is P4/mmm, No. 123. The crystal system is tetragonal.

Lattice parameters (Å, degrees): 5.511 5.511 3.792 90.00 90.00 90.00
Site moments in Bohr magnetons follow the coordinates.
Atoms (fractional coordinates):
I 0.000 0.500 0.000  0.00
I 0.500 0.000 0.000  0.00
Rh 0.500 0.500 0.500  0.01
W 0.000 0.000 0.000  0.72
N 0.000 0.000 0.500  -0.06

Quick one: most stable of them? (x)

(w)
Below is YRhI2N after structural relaxation, with properties calculated at the PBE level.

Results
The calculation puts the total magnetic moment at 2.2 Bohr magnetons per cell. Its space group is P4/mmm, No. 123. The crystal system is tetragonal.

Lattice parameters (Å, degrees): 6.092 6.092 4.097 90.00 90.00 90.00
Site moments in Bohr magnetons follow the coordinates.
Atoms (fractional coordinates):
I 0.000 0.500 0.000  0.09
I 0.500 0.000 0.000  0.09
Y 0.000 0.000 0.000  -0.02
Rh 0.500 0.500 0.500  1.57
N 0.000 0.000 0.500  0.22

(x)
Below is YRhI2N after structural relaxation, with properties calculated at the PBE level.

Results
The calculation puts the total magnetic moment at 0.0 Bohr magnetons per cell. Its space group is P4/mmm, No. 123. The crystal system is tetragonal.

Lattice parameters (Å, degrees): 5.718 5.718 3.737 90.00 90.00 90.00
Atoms (fractional coordinates):
I 0.000 0.500 0.000
I 0.500 0.000 0.000
Y 0.500 0.500 0.500
Rh 0.000 0.000 0.000
N 0.000 0.000 0.500

Quick one: most stable of them? (x)

(w)
Below is YRhIN2 after structural relaxation, with properties calculated at the PBE level.

Results
The calculation puts the total magnetic moment at 1.9 Bohr magnetons per cell. Its space group is P4/mmm, No. 123. The crystal system is tetragonal.

Lattice parameters (Å, degrees): 4.170 4.170 5.159 90.00 90.00 90.00
Site moments in Bohr magnetons follow the coordinates.
Atoms (fractional coordinates):
I 0.000 0.000 0.500  0.02
Y 0.500 0.500 0.500  0.01
Rh 0.000 0.000 0.000  0.57
N 0.000 0.500 0.000  0.44
N 0.500 0.000 0.000  0.44

(x)
Below is YRhIN2 after structural relaxation, with properties calculated at the PBE level.

Results
The calculation puts the total magnetic moment at 4.8 Bohr magnetons per cell. Its space group is P4/mmm, No. 123. The crystal system is tetragonal.

Lattice parameters (Å, degrees): 4.387 4.387 6.285 90.00 90.00 90.00
Site moments in Bohr magnetons follow the coordinates.
Atoms (fractional coordinates):
I 0.000 0.000 0.500  0.09
Y 0.000 0.000 0.000  0.09
Rh 0.500 0.500 0.500  1.44
N 0.000 0.500 0.000  1.07
N 0.500 0.000 0.000  1.07

Quick one: most stable of them? (w)

(w)
Below is ZrRhIN2 after structural relaxation, with properties calculated at the PBE level.

Results
The calculation puts the total magnetic moment at 0.3 Bohr magnetons per cell. Its space group is P4/mmm, No. 123. The crystal system is tetragonal.

Lattice parameters (Å, degrees): 4.057 4.057 5.201 90.00 90.00 90.00
Site moments in Bohr magnetons follow the coordinates.
Atoms (fractional coordinates):
I 0.000 0.000 0.500  0.01
Rh 0.000 0.000 0.000  0.13
Zr 0.500 0.500 0.500  -0.13
N 0.000 0.500 0.000  0.14
N 0.500 0.000 0.000  0.14

(x)
Below is ZrRhIN2 after structural relaxation, with properties calculated at the PBE level.

Results
The calculation puts the total magnetic moment at 1.1 Bohr magnetons per cell. Its space group is P4/mmm, No. 123. The crystal system is tetragonal.

Lattice parameters (Å, degrees): 4.103 4.103 6.286 90.00 90.00 90.00
Site moments in Bohr magnetons follow the coordinates.
Atoms (fractional coordinates):
I 0.000 0.000 0.500  0.04
Rh 0.500 0.500 0.500  1.04
Zr 0.000 0.000 0.000  0.02
N 0.000 0.500 0.000  -0.04
N 0.500 0.000 0.000  -0.04

Quick one: most stable of them? (x)

(w)
Below is Ru2IN after structural relaxation, with properties calculated at the PBE level.

Results
The calculation puts the total magnetic moment at 0.0 Bohr magnetons per cell. Its space group is I-42d, No. 122. The crystal system is tetragonal.

Lattice parameters (Å, degrees): 5.113 5.113 6.483 66.78 66.78 90.00
Atoms (fractional coordinates):
I 0.000 0.000 0.000
I 0.750 0.250 0.500
Ru 0.507 0.125 0.250
Ru 0.243 0.625 0.250
Ru 0.375 0.493 0.750
Ru 0.875 0.757 0.750
N 0.500 0.500 0.000
N 0.250 0.750 0.500

(x)
Below is Ru2IN after structural relaxation, with properties calculated at the PBE level.

Results
The calculation puts the total magnetic moment at 0.0 Bohr magnetons per cell. Its space group is Fm-3m, No. 225. The crystal system is cubic.

Lattice parameters (Å, degrees): 4.324 4.324 4.324 60.00 60.00 60.00
Atoms (fractional coordinates):
I 0.500 0.500 0.500
Ru 0.250 0.250 0.250
Ru 0.750 0.750 0.750
N 0.000 0.000 0.000

Quick one: most stable of them? (w)

(w)
Below is Ru3IN after structural relaxation, with properties calculated at the PBE level.

Results
The calculation puts the total magnetic moment at 0.0 Bohr magnetons per cell. Its space group is Pm-3m, No. 221. The crystal system is cubic.

Lattice parameters (Å, degrees): 4.173 4.173 4.173 90.00 90.00 90.00
Atoms (fractional coordinates):
I 0.500 0.500 0.500
Ru 0.000 0.500 0.000
Ru 0.000 0.000 0.500
Ru 0.500 0.000 0.000
N 0.000 0.000 0.000

(x)
Below is Ru3IN after structural relaxation, with properties calculated at the PBE level.

Results
The calculation puts the total magnetic moment at 6.3 Bohr magnetons per cell. Its space group is Pm-3m, No. 221. The crystal system is cubic.

Lattice parameters (Å, degrees): 4.876 4.876 4.876 90.00 90.00 90.00
Site moments in Bohr magnetons follow the coordinates.
Atoms (fractional coordinates):
I 0.000 0.000 0.000  -0.03
Ru 0.000 0.500 0.000  1.40
Ru 0.000 0.000 0.500  1.40
Ru 0.500 0.000 0.000  1.44
N 0.500 0.500 0.500  1.41

Quick one: most stable of them? (w)

(w)
Below is RuS2IN after structural relaxation, with properties calculated at the PBE level.

Results
The calculation puts the total magnetic moment at 0.0 Bohr magnetons per cell. Its space group is P4/mmm, No. 123. The crystal system is tetragonal.

Lattice parameters (Å, degrees): 4.919 4.919 3.713 90.00 90.00 90.00
Atoms (fractional coordinates):
I 0.500 0.500 0.500
Ru 0.000 0.000 0.000
S 0.000 0.500 0.000
S 0.500 0.000 0.000
N 0.000 0.000 0.500

(x)
Below is RuS2IN after structural relaxation, with properties calculated at the PBE level.

Results
The calculation puts the total magnetic moment at 3.9 Bohr magnetons per cell. Its space group is P4/mmm, No. 123. The crystal system is tetragonal.

Lattice parameters (Å, degrees): 5.173 5.173 3.890 90.00 90.00 90.00
Site moments in Bohr magnetons follow the coordinates.
Atoms (fractional coordinates):
I 0.000 0.000 0.000  0.00
Ru 0.500 0.500 0.500  3.02
S 0.000 0.500 0.000  0.16
S 0.500 0.000 0.000  0.16
N 0.000 0.000 0.500  0.14

Quick one: most stable of them? (w)

(w)
Below is Sb2RuIN after structural relaxation, with properties calculated at the PBE level.

Results
The calculation puts the total magnetic moment at 0.0 Bohr magnetons per cell. Its space group is P4/mmm, No. 123. The crystal system is tetragonal.

Lattice parameters (Å, degrees): 4.659 4.659 4.635 90.00 90.00 90.00
Atoms (fractional coordinates):
I 0.000 0.000 0.500
Sb 0.000 0.500 0.000
Sb 0.500 0.000 0.000
N 0.000 0.000 0.000
Ru 0.500 0.500 0.500

(x)
Below is Sb2RuIN after structural relaxation, with properties calculated at the PBE level.

Results
The calculation puts the total magnetic moment at 2.5 Bohr magnetons per cell. Its space group is P4/mmm, No. 123. The crystal system is tetragonal.

Lattice parameters (Å, degrees): 5.043 5.043 5.860 90.00 90.00 90.00
Site moments in Bohr magnetons follow the coordinates.
Atoms (fractional coordinates):
I 0.000 0.000 0.500  0.10
Sb 0.000 0.500 0.000  -0.02
Sb 0.500 0.000 0.000  -0.02
N 0.500 0.500 0.500  1.75
Ru 0.000 0.000 0.000  -0.19

Quick one: most stable of them? (w)

(w)
Below is ScRuI2N after structural relaxation, with properties calculated at the PBE level.

Results
The calculation puts the total magnetic moment at 0.9 Bohr magnetons per cell. Its space group is P4/mmm, No. 123. The crystal system is tetragonal.

Lattice parameters (Å, degrees): 5.591 5.591 3.720 90.00 90.00 90.00
Site moments in Bohr magnetons follow the coordinates.
Atoms (fractional coordinates):
I 0.000 0.500 0.000  -0.01
I 0.500 0.000 0.000  -0.01
Ru 0.000 0.000 0.000  0.01
Sc 0.500 0.500 0.500  0.64
N 0.000 0.000 0.500  0.01

(x)
Below is ScRuI2N after structural relaxation, with properties calculated at the PBE level.

Results
The calculation puts the total magnetic moment at 3.9 Bohr magnetons per cell. Its space group is P4/mmm, No. 123. The crystal system is tetragonal.

Lattice parameters (Å, degrees): 5.850 5.850 3.895 90.00 90.00 90.00
Site moments in Bohr magnetons follow the coordinates.
Atoms (fractional coordinates):
I 0.000 0.500 0.000  0.09
I 0.500 0.000 0.000  0.09
Ru 0.500 0.500 0.500  2.63
Sc 0.000 0.000 0.000  0.02
N 0.000 0.000 0.500  0.52

Quick one: most stable of them? (w)

(w)
Below is RuSe2IN after structural relaxation, with properties calculated at the PBE level.

Results
The calculation puts the total magnetic moment at 0.0 Bohr magnetons per cell. Its space group is P4/mmm, No. 123. The crystal system is tetragonal.

Lattice parameters (Å, degrees): 5.186 5.186 3.721 90.00 90.00 90.00
Atoms (fractional coordinates):
I 0.500 0.500 0.500
Ru 0.000 0.000 0.000
Se 0.000 0.500 0.000
Se 0.500 0.000 0.000
N 0.000 0.000 0.500

(x)
Below is RuSe2IN after structural relaxation, with properties calculated at the PBE level.

Results
The calculation puts the total magnetic moment at 3.3 Bohr magnetons per cell. Its space group is P4/mmm, No. 123. The crystal system is tetragonal.

Lattice parameters (Å, degrees): 5.461 5.461 3.881 90.00 90.00 90.00
Site moments in Bohr magnetons follow the coordinates.
Atoms (fractional coordinates):
I 0.000 0.000 0.000  0.00
Ru 0.500 0.500 0.500  2.76
Se 0.000 0.500 0.000  0.07
Se 0.500 0.000 0.000  0.07
N 0.000 0.000 0.500  0.06

Quick one: most stable of them? (w)